Record 1
# ErIn2Pd

ErIn2Pd after structural relaxation (PBE-GGA, the Alexandria database).

Summary:
For the theoretical density, the calculation gives 9.5 Mg/m³. As for the calculated volume: 88 Å³/f.u. The electronic total energy is -17.2 eV for the cell shown. The calculation puts the total moment at 0.0 μB per formula unit.

Geometry as CIF:
```
data_ErIn2Pd
_cell_length_a 4.3321
_cell_length_b 4.3321
_cell_length_c 4.6929
_cell_angle_alpha 90.00
_cell_angle_beta 90.00
_cell_angle_gamma 90.00
_symmetry_space_group_name_H-M 'P 4/m m m'
_symmetry_Int_Tables_number 123
_symmetry_space_group_name_Hall '-P 4 2'
loop_
_atom_site_label
_atom_site_fract_x
_atom_site_fract_y
_atom_site_fract_z
_atom_site_occupancy
Er1 0.0000 0.0000 0.0000 1
In1 0.0000 0.5000 0.5000 1
Pd1 0.5000 0.5000 0.0000 1
```



Record 2
# Cs2RbNaAs

Cs2RbNaAs after structural relaxation (PBE-GGA, the Alexandria database).

Summary:
For the theoretical density, the calculation gives 2.4 Mg/m³. As for the calculated volume: 315 Å³/f.u. The calculation puts the energy relative to the lowest polymorph listed for this composition at 0.0 meV/atom. The calculation puts the total moment at 0.3 μB per formula unit.

Geometry as CIF:
```
data_Cs2RbNaAs
_cell_length_a 7.4103
_cell_length_b 7.4103
_cell_length_c 5.7381
_cell_angle_alpha 90.00
_cell_angle_beta 90.00
_cell_angle_gamma 90.00
_symmetry_space_group_name_H-M 'P 4/m m m'
_symmetry_Int_Tables_number 123
_symmetry_space_group_name_Hall '-P 4 2'
loop_
_atom_site_label
_atom_site_fract_x
_atom_site_fract_y
_atom_site_fract_z
_atom_site_occupancy
Cs1 0.0000 0.5000 0.0000 1
Rb1 0.0000 0.0000 0.5000 1
Na1 0.5000 0.5000 0.5000 1
As1 0.5000 0.5000 0.0000 1
```